{
  "formula": "SmHoHf",
  "functional": "PBE",
  "state": "optimized geometry",
  "cell": [[-3.316, -0.588, 3.407], [2.390, 0.116, 2.346], [-2.336, 10.363, -0.485]],
  "species": ["Sm", "Sm", "Ho", "Ho", "Hf", "Hf"],
  "frac_coords": [[0.347, 0.050, 0.514], [0.847, 0.940, 0.310], [0.347, 0.358, 0.140], [0.847, 0.632, 0.684], [0.847, 0.779, 0.980], [0.347, 0.211, 0.843]],
  "space_group": "P2_1/m (11)",
  "magnetic_moment_mub_per_fu": 0.000,
  "vol_a3_per_atom": 28.11,
  "e_form_ev_per_atom": 0.170
}

***

{
  "formula": "Dy3ErCu2",
  "functional": "PBE",
  "state": "optimized geometry",
  "cell": [[6.762, 0.000, 0.000], [0.000, 7.150, 0.000], [-3.381, -3.575, 6.692]],
  "species": ["Dy", "Dy", "Dy", "Dy", "Dy", "Dy", "Er", "Er", "Cu", "Cu", "Cu", "Cu"],
  "frac_coords": [[0.500, 0.250, 0.000], [0.500, 0.750, 0.000], [0.767, 0.017, 0.533], [0.233, 0.483, 0.467], [0.233, 0.983, 0.467], [0.767, 0.517, 0.533], [0.000, 0.500, 0.000], [0.000, 0.000, 0.000], [0.567, 0.359, 0.718], [0.849, 0.141, 0.282], [0.151, 0.859, 0.718], [0.433, 0.641, 0.282]],
  "space_group": "Ibam (72)",
  "magnetic_moment_mub_per_fu": 0.000,
  "vol_a3_per_atom": 26.96,
  "e_form_ev_per_atom": 0.014
}

***

{
  "formula": "Nd3Dy5Tm4",
  "functional": "PBE",
  "state": "optimized geometry",
  "cell": [[5.702, 0.000, 0.000], [2.851, 8.145, -3.534], [2.851, -1.440, 9.081]],
  "species": ["Nd", "Nd", "Nd", "Dy", "Dy", "Dy", "Dy", "Dy", "Tm", "Tm", "Tm", "Tm"],
  "frac_coords": [[0.539, 0.646, 0.276], [0.000, 0.500, 0.500], [0.461, 0.354, 0.724], [0.730, 0.931, 0.610], [0.500, 0.500, 0.500], [0.339, 0.258, 0.064], [0.661, 0.742, 0.936], [0.270, 0.069, 0.390], [0.938, 0.268, 0.855], [0.161, 0.875, 0.804], [0.839, 0.125, 0.196], [0.062, 0.732, 0.145]],
  "space_group": "C2/m (12)",
  "magnetic_moment_mub_per_fu": 0.317,
  "vol_a3_per_atom": 32.73,
  "e_form_ev_per_atom": 0.275
}

***

{
  "formula": "UInP2Ru5",
  "functional": "PBE",
  "state": "optimized geometry",
  "cell": [[4.142, 0.000, 0.000], [0.000, 4.142, 0.000], [0.000, 0.000, 8.245]],
  "species": ["U", "In", "P", "P", "Ru", "Ru", "Ru", "Ru", "Ru"],
  "frac_coords": [[0.000, 0.000, 0.500], [0.000, 0.000, 0.000], [0.500, 0.500, 0.135], [0.500, 0.500, 0.865], [0.000, 0.500, 0.260], [0.500, 0.000, 0.260], [0.000, 0.500, 0.740], [0.500, 0.000, 0.740], [0.500, 0.500, 0.500]],
  "space_group": "P4/mmm (123)",
  "magnetic_moment_mub_per_fu": 0.000,
  "vol_a3_per_atom": 15.72,
  "e_form_ev_per_atom": -0.404
}

***

{
  "formula": "BaTl7Hg2",
  "functional": "PBE",
  "state": "optimized geometry",
  "cell": [[3.514, 0.000, 0.000], [0.000, 10.738, -0.412], [0.000, -5.107, 9.455]],
  "species": ["Ba", "Tl", "Tl", "Tl", "Tl", "Tl", "Tl", "Tl", "Hg", "Hg"],
  "frac_coords": [[0.000, 0.000, 0.000], [0.000, 0.811, 0.189], [0.000, 0.189, 0.811], [0.500, 0.142, 0.348], [0.500, 0.858, 0.652], [0.500, 0.348, 0.142], [0.500, 0.652, 0.858], [0.500, 0.500, 0.500], [0.500, 0.672, 0.328], [0.500, 0.328, 0.672]],
  "space_group": "Cmmm (65)",
  "magnetic_moment_mub_per_fu": 0.000,
  "vol_a3_per_atom": 34.93,
  "e_form_ev_per_atom": 0.039
}

***

{
  "formula": "CrFe2Mo",
  "functional": "PBE",
  "state": "optimized geometry",
  "cell": [[4.137, 0.000, 0.000], [2.069, 3.583, 0.000], [2.069, 1.194, 3.378]],
  "species": ["Cr", "Fe", "Fe", "Mo"],
  "frac_coords": [[0.500, 0.500, 0.500], [0.000, 0.000, 0.000], [0.250, 0.250, 0.250], [0.750, 0.750, 0.750]],
  "space_group": "F-43m (216)",
  "magnetic_moment_mub_per_fu": 4.070,
  "vol_a3_per_atom": 12.52,
  "e_form_ev_per_atom": 0.125
}